Record 1
DFT (PBE-GGA) results for crystalline Te8Pd4I at its relaxed geometry.

Cell: 4.129 8.876 10.449 Å, 76.30 78.60 76.55°
Element x y z (fractional)
Te1 0.115 0.366 0.405
Te2 0.553 0.705 0.188
Te3 0.478 0.298 0.746
Te4 0.917 0.638 0.529
Te5 0.830 0.027 0.312
Te6 0.238 0.655 0.869
Te7 0.201 0.976 0.621
Te8 0.793 0.348 0.065
Pd1 0.382 0.822 0.415
Pd2 0.861 0.486 0.791
Pd3 0.170 0.517 0.143
Pd4 0.650 0.182 0.519
I1 0.516 0.002 0.967

Results
E: -3.93 eV per atom
Energy relative to the elements, uncorrected: -0.276 eV/atom

Record 2
DFT (PBE-GGA) results for crystalline Te2Pd2I at its relaxed geometry.

Cell: 8.048 8.048 3.658 Å, 90.00 90.00 90.00°
Element x y z (fractional)
I1 0.000 0.000 0.000
I2 0.500 0.500 0.000
Te1 0.141 0.641 0.500
Te2 0.641 0.859 0.500
Te3 0.859 0.359 0.500
Te4 0.359 0.141 0.500
Pd1 0.371 0.871 0.000
Pd2 0.871 0.629 0.000
Pd3 0.629 0.129 0.000
Pd4 0.129 0.371 0.000

Results
E: -3.62 eV per atom
E above lowest polymorph: 0.2741 eV per atom
Energy relative to the elements, uncorrected: 0.022 eV/atom

Record 3
DFT (PBE-GGA) results for crystalline Te4PdI at its relaxed geometry.

Cell: 6.037 7.944 9.215 Å, 115.53 85.88 90.00°
Element x y z (fractional)
Te1 0.343 0.725 0.451
Te2 0.425 0.148 0.779
Te3 0.000 0.289 0.000
Te4 0.575 0.369 0.221
Te5 0.657 0.275 0.549
Te6 0.575 0.852 0.221
Te7 0.000 0.711 0.000
Te8 0.425 0.631 0.779
Pd1 0.298 0.558 0.117
Pd2 0.702 0.442 0.883
I1 0.900 0.819 0.638
I2 0.100 0.181 0.362

Results
E: -3.22 eV per atom
Energy relative to the elements, uncorrected: 0.001 eV/atom

Record 4
DFT (PBE-GGA) results for crystalline Te2PdI2 at its relaxed geometry.

Cell: 8.924 7.261 9.756 Å, 67.67 51.80 52.08°
Element x y z (fractional)
Te1 0.838 0.000 0.247
Te2 0.746 0.000 0.009
Te3 0.254 0.000 0.991
Te4 0.162 0.000 0.753
Pd1 0.161 0.679 0.000
Pd2 0.839 0.321 0.000
I1 0.503 0.352 0.741
I2 0.497 0.648 0.259
I3 0.855 0.648 0.741
I4 0.145 0.352 0.259

Results
E: -3.02 eV per atom
E above lowest polymorph: 0.0249 eV per atom
Energy relative to the elements, uncorrected: -0.101 eV/atom

Record 5
DFT (PBE-GGA) results for crystalline TePd2I8 at its relaxed geometry.

Cell: 12.376 8.237 11.404 Å, 121.22 90.00 138.70°
Element x y z (fractional)
Te1 0.000 0.000 0.000
Pd1 0.843 0.685 0.531
Pd2 0.157 0.315 0.469
I1 0.937 0.204 0.254
I2 0.267 0.204 0.254
I3 0.063 0.796 0.746
I4 0.560 0.120 0.772
I5 0.733 0.796 0.746
I6 0.783 0.566 0.258
I7 0.217 0.434 0.742
I8 0.440 0.880 0.228

Results
E: -2.40 eV per atom
Energy relative to the elements, uncorrected: -0.047 eV/atom

Record 6
DFT (PBE-GGA) results for crystalline Te2Pd2I at its relaxed geometry.

Cell: 5.570 6.884 9.029 Å, 60.41 72.03 66.14°
Element x y z (fractional)
Te1 0.656 0.249 0.438
Te2 0.344 0.751 0.562
Te3 0.992 0.727 0.290
Te4 0.008 0.273 0.710
Pd1 0.168 0.255 0.409
Pd2 0.832 0.745 0.591
Pd3 0.494 0.269 0.744
Pd4 0.506 0.731 0.256
I1 0.340 0.230 0.090
I2 0.660 0.770 0.910

Results
E: -3.90 eV per atom
E above lowest polymorph: 0.0000 eV per atom
Energy relative to the elements, uncorrected: -0.252 eV/atom

Record 7
DFT (PBE-GGA) results for crystalline TiTePd2I at its relaxed geometry.

Cell: 5.032 5.115 5.032 Å, 90.00 90.00 90.00°
Element x y z (fractional)
I1 0.500 0.500 0.500
Te1 0.000 0.500 0.000
Pd1 0.000 0.000 0.500
Pd2 0.500 0.000 0.000
Ti1 0.000 0.000 0.000

Results
E: -4.13 eV per atom
Energy relative to the elements, uncorrected: 0.469 eV/atom

Record 8
DFT (PBE-GGA) results for crystalline TlTe2PdI at its relaxed geometry.

Cell: 5.349 5.349 5.737 Å, 90.00 90.00 90.00°
Element x y z (fractional)
I1 0.000 0.000 0.500
Tl1 0.500 0.500 0.500
Te1 0.000 0.500 0.000
Te2 0.500 0.000 0.000
Pd1 0.000 0.000 0.000

Results
E: -3.10 eV per atom
E above lowest polymorph: 0.0000 eV per atom
Energy relative to the elements, uncorrected: -0.026 eV/atom

What did the first record say?
DFT (PBE-GGA) results for crystalline Te8Pd4I at its relaxed geometry.

Cell: 4.129 8.876 10.449 Å, 76.30 78.60 76.55°
Element x y z (fractional)
Te1 0.115 0.366 0.405
Te2 0.553 0.705 0.188
Te3 0.478 0.298 0.746
Te4 0.917 0.638 0.529
Te5 0.830 0.027 0.312
Te6 0.238 0.655 0.869
Te7 0.201 0.976 0.621
Te8 0.793 0.348 0.065
Pd1 0.382 0.822 0.415
Pd2 0.861 0.486 0.791
Pd3 0.170 0.517 0.143
Pd4 0.650 0.182 0.519
I1 0.516 0.002 0.967

Results
E: -3.93 eV per atom
Energy relative to the elements, uncorrected: -0.276 eV/atom

Copy entry 4 word for word.
DFT (PBE-GGA) results for crystalline Te2PdI2 at its relaxed geometry.

Cell: 8.924 7.261 9.756 Å, 67.67 51.80 52.08°
Element x y z (fractional)
Te1 0.838 0.000 0.247
Te2 0.746 0.000 0.009
Te3 0.254 0.000 0.991
Te4 0.162 0.000 0.753
Pd1 0.161 0.679 0.000
Pd2 0.839 0.321 0.000
I1 0.503 0.352 0.741
I2 0.497 0.648 0.259
I3 0.855 0.648 0.741
I4 0.145 0.352 0.259

Results
E: -3.02 eV per atom
E above lowest polymorph: 0.0249 eV per atom
Energy relative to the elements, uncorrected: -0.101 eV/atom

- The lowest E belongs to which entry?
  TiTePd2I

- energy relative to the elements, uncorrected of number 3 (Te4PdI)?
  0.001 eV/atom